Material: ScBi3Mo
Method: DFT, PBE
State: optimized geometry

Summary:
distance to the lowest polymorph of the same formula = 0 meV/atom
formation enthalpy at 0 K = 0.654 eV/atom
size of the total moment = 0.00 μB per cell
calculated density = 8.1 g/cm³
E_tot = -25.533 eV per cell

Lattice parameters (Å, degrees): 5.3982 5.3982 5.3982 90.00 90.00 90.00
Space group Pm-3m (No. 221)
One atom of each set of equivalent atoms:
Sc 0.0000 0.0000 0.0000 (multiplicity 1)
Bi 0.0000 0.5000 0.5000 (multiplicity 3)
Mo 0.5000 0.5000 0.5000 (multiplicity 1)